1.
LaCo2Cu | PBE | relaxed

The space group is P4/mmm (No. 123) and the conventional cell measures 4.097, 4.097 and 3.775 Å, with angles of 90.00, 90.00 and 90.00 degrees. The distinct sites, in fractional coordinates, are La at (0.000, 0.000, 0.000), Co at (0.000, 0.500, 0.500) and Cu at (0.500, 0.500, 0.000).

The value obtained for the formation energy is 1.1 eV per formula unit. The calculation puts the final energy at -5.54 eV/atom.



2.
NbGaOs | PBE | relaxed

The space group is I4mm (No. 107) and the conventional cell measures 3.126, 3.126 and 9.663 Å, with angles of 90.00, 90.00 and 90.00 degrees. The distinct sites, in fractional coordinates, are Nb at (0.000, 0.000, 0.000), Ga at (0.000, 0.000, 0.316) and Os at (0.000, 0.000, 0.662).

The value obtained for the formation energy is -0.6 eV per formula unit. The calculation puts the final energy at -8.31 eV/atom.



3.
BeBi3Pt | PBE | relaxed

The space group is Pm-3m (No. 221) and the conventional cell measures 4.975, 4.975 and 4.975 Å, with angles of 90.00, 90.00 and 90.00 degrees. The distinct sites, in fractional coordinates, are Be at (0.000, 0.000, 0.000), Bi at (0.000, 0.000, 0.500) and Pt at (0.500, 0.500, 0.500).

The value obtained for the formation energy is 3.0 eV per formula unit. The calculation puts the final energy at -3.67 eV/atom.



4.
Tl2SiSb | PBE | relaxed

The space group is Immm (No. 71) and the conventional cell measures 3.859, 4.133 and 14.748 Å, with angles of 90.00, 90.00 and 90.00 degrees. The distinct sites, in fractional coordinates, are Tl at (0.000, 0.000, 0.175), Si at (0.000, 0.500, 0.500) and Sb at (0.000, 0.500, 0.000).

For the raw formation energy, the calculation gives 229 meV/atom. The calculation puts the final energy at -3.34 eV/atom.



5.
KC3N | PBE | relaxed

The space group is Pm-3m (No. 221) and the conventional cell measures 3.873, 3.873 and 3.873 Å, with angles of 90.00, 90.00 and 90.00 degrees. The distinct sites, in fractional coordinates, are K at (0.000, 0.000, 0.000), C at (0.000, 0.500, 0.500) and N at (0.500, 0.500, 0.500).

For the raw formation energy, the calculation gives 3549 meV/atom. The calculation puts the final energy at -3.87 eV/atom.



6.
K2ScCu | PBE | relaxed

The space group is Cmmm (No. 65) and the conventional cell measures 6.356, 11.616 and 3.655 Å, with angles of 90.00, 90.00 and 90.00 degrees. The distinct sites, in fractional coordinates, are K at (0.250, 0.250, 0.000), Sc at (0.000, 0.000, 0.500) and Cu at (0.000, 0.500, 0.500).

The value obtained for the formation energy is 3.1 eV per formula unit. The calculation puts the final energy at -2.39 eV/atom.



> What is the formula in the fifth record?

KC3N



> Which of these has the highest final energy?

K2ScCu